# GGA-PBE CsBaTbSe3, optimized geometry
data_CsBaTbSe3
_chemical_formula_sum 'Cs4 Ba4 Tb4 Se12'
_cell_length_a 4.380
_cell_length_b 19.915
_cell_length_c 12.565
_cell_angle_alpha 90.00
_cell_angle_beta 90.00
_cell_angle_gamma 90.00
_symmetry_space_group_name_H-M 'C m c m'
_symmetry_Int_Tables_number 63
_symmetry_space_group_name_Hall '-C 2c 2'
loop_
_atom_site_label
_atom_site_fract_x
_atom_site_fract_y
_atom_site_fract_z
Cs1 0.000 0.151 0.250
Ba1 0.000 0.099 0.750
Tb1 0.000 0.500 0.000
Se1 0.000 0.096 0.505
Se2 0.000 0.490 0.750
# Raw total energy, eV/atom: -4.53
# Density, g/cm3: 4.0

***

# GGA-PBE Lu3AuCN, optimized geometry
data_Lu3AuCN
_chemical_formula_sum 'Lu6 Au2 C2 N2'
_cell_length_a 3.4735
_cell_length_b 3.4735
_cell_length_c 19.5688
_cell_angle_alpha 90.00
_cell_angle_beta 90.00
_cell_angle_gamma 120.00
_symmetry_space_group_name_H-M 'P -3 m 1'
_symmetry_Int_Tables_number 164
_symmetry_space_group_name_Hall '-P 3 2"'
loop_
_atom_site_label
_atom_site_fract_x
_atom_site_fract_y
_atom_site_fract_z
Lu1 0.0000 0.0000 0.0000
Lu2 0.0000 0.0000 0.5000
Lu3 0.3333 0.6667 0.1339
Lu4 0.3333 0.6667 0.3629
Au1 0.0000 0.0000 0.2437
C1 0.3333 0.6667 0.5778
N1 0.3333 0.6667 0.9288
# Raw total energy, eV/atom: -6.67
# Density, g/cm3: 12.1

***

# GGA-PBE KReAuSe2S, optimized geometry
data_KReAuSe2S
_chemical_formula_sum 'K4 Re4 Au4 Se8 S4'
_cell_length_a 3.828
_cell_length_b 15.172
_cell_length_c 9.941
_cell_angle_alpha 90.00
_cell_angle_beta 90.00
_cell_angle_gamma 90.00
_symmetry_space_group_name_H-M 'C m c m'
_symmetry_Int_Tables_number 63
_symmetry_space_group_name_Hall '-C 2c 2'
loop_
_atom_site_label
_atom_site_fract_x
_atom_site_fract_y
_atom_site_fract_z
K1 0.000 0.247 0.250
Re1 0.000 0.500 0.000
Au1 0.000 0.068 0.750
Se1 0.000 0.116 0.511
S1 0.000 0.447 0.750
# Raw total energy, eV/atom: -4.77
# Density, g/cm3: 7.0

***

# GGA-PBE CsB4W, optimized geometry
data_CsB4W
_chemical_formula_sum 'Cs2 B8 W2'
_cell_length_a 3.040
_cell_length_b 5.827
_cell_length_c 8.085
_cell_angle_alpha 90.00
_cell_angle_beta 90.00
_cell_angle_gamma 90.00
_symmetry_space_group_name_H-M 'I m m m'
_symmetry_Int_Tables_number 71
_symmetry_space_group_name_Hall '-I 2 2'
loop_
_atom_site_label
_atom_site_fract_x
_atom_site_fract_y
_atom_site_fract_z
Cs1 0.000 0.000 0.000
B1 0.000 0.345 0.227
W1 0.000 0.000 0.500
# Raw total energy, eV/atom: -5.52
# Density, g/cm3: 8.3

***

# GGA-PBE KCuTeWS2, optimized geometry
data_KCuTeWS2
_chemical_formula_sum 'K4 Cu4 Te4 W4 S8'
_cell_length_a 3.496
_cell_length_b 15.960
_cell_length_c 9.891
_cell_angle_alpha 90.00
_cell_angle_beta 90.00
_cell_angle_gamma 90.00
_symmetry_space_group_name_H-M 'C m c m'
_symmetry_Int_Tables_number 63
_symmetry_space_group_name_Hall '-C 2c 2'
loop_
_atom_site_label
_atom_site_fract_x
_atom_site_fract_y
_atom_site_fract_z
K1 0.000 0.218 0.250
Cu1 0.000 0.466 0.750
Te1 0.000 0.089 0.750
W1 0.000 0.000 0.000
S1 0.000 0.396 0.555
# Raw total energy, eV/atom: -5.26
# Density, g/cm3: 5.8